[1]
This record from Alexandria describes crystalline Pm5Dy2Sn5 at its relaxed geometry. The functional is PBE.

## Properties
Raw total energy   -119.00 eV per cell

a b c (Å): 14.8944 4.4365 12.8127
angles (deg): 90.00 109.85 90.00
Space group C2/m (No. 12)
One atom of each set of equivalent atoms:
Pm 0.0000 0.0000 0.0000 x2
Pm 0.1600 0.0000 0.5399 x4
Pm 0.2265 0.0000 0.8444 x4
Dy 0.0506 0.5000 0.2865 x4
Sn 0.0000 0.5000 0.5000 x2
Sn 0.1156 0.5000 0.9264 x4
Sn 0.1953 0.0000 0.2937 x4



[2]
This record from Alexandria describes crystalline CaTh2PdN4 at its relaxed geometry. The functional is PBE.

## Properties
ΔE_f (raw)   -867 meV/atom

a b c (Å): 3.6093 12.0450 12.3331
angles (deg): 90.00 90.00 90.00
Space group Cmcm (No. 63)
One atom of each set of equivalent atoms:
Ca 0.0000 0.1057 0.2500 x4
Th 0.0000 0.3697 0.0548 x8
Pd 0.0000 0.1546 0.7500 x4
N 0.0000 0.0000 0.0000 x4
N 0.0000 0.2616 0.6052 x8
N 0.0000 0.4497 0.2500 x4



[3]
This record from Alexandria describes crystalline CsNpTe2 at its relaxed geometry. The functional is PBE.

## Properties
ΔE_f (raw)   -794 meV/atom

a b c (Å): 3.9301 3.9301 9.0616
angles (deg): 90.00 90.00 90.00
Space group P4/mmm (No. 123)
One atom of each set of equivalent atoms:
Cs 0.0000 0.0000 0.0000 x1
Np 0.0000 0.0000 0.5000 x1
Te 0.5000 0.5000 0.3048 x2



[4]
This record from Alexandria describes crystalline Ga2TcC at its relaxed geometry. The functional is PBE.

## Properties
Raw total energy   -91.67 eV per cell

a b c (Å): 7.4725 7.4725 4.1269
angles (deg): 90.00 90.00 90.00
Space group I-42d (No. 122)
One atom of each set of equivalent atoms:
Ga 0.1376 0.2500 0.1250 x8
Tc 0.0000 0.0000 0.5000 x4
C 0.0000 0.0000 0.0000 x4